DFT (PBE-GGA) results for a relaxed SiAu crystal.

abc: 5.8603 6.7604 3.8285
angles: 73.55 70.93 29.78
Last column: nearest neighbours and their distance in Å.
Sites, in units of the cell vectors:
Au: 0.9314 0.5408 0.7639  5 Si 2.55-2.60
Au: 0.9853 0.0425 0.9861  5 Si 2.55-2.60
Si: 0.5254 0.0420 0.2163  5 Au 2.55-2.60
Si: 0.3913 0.5413 0.5337  5 Au 2.55-2.60

Results
Fermi-level density of states (states/eV per cell): 1.428
E_form (uncorrected) (eV per atom): 0.165